[1]
Computed, not measured: an optimized crystal structure of PtSe2Br at the GGA-PBE level of DFT.

Summary:
Its excess energy over the best structure of this formula in the dataset is 458.6 meV per atom. The total DFT energy (no corrections) is -3.496 eV per atom. As for the space-group type: No. 71. The uncorrected formation energy comes out at 0.18 eV/atom.

Cell: 6.782 6.782 6.782 Å, 156.28 114.94 70.30°
Atoms (fractional coordinates):
Se  0.065  0.065  0.000
Br  0.750  0.250  0.500
Pt  0.250  0.750  0.500
Se  0.435  0.435  0.000

[2]
Computed, not measured: an optimized crystal structure of PtSeBr2 at the GGA-PBE level of DFT.

Summary:
The total DFT energy (no corrections) is -3.157 eV per atom. As for the space-group type: No. 35. The uncorrected formation energy comes out at 0.06 eV/atom.

Cell: 4.514 4.514 8.926 Å, 90.00 90.00 133.13°
Each line ends with the local moment (μB).
Atoms (fractional coordinates):
Pt  0.000  0.000  0.523  0.32
Se  0.500  0.500  0.697  0.32
Br  0.500  0.500  0.324  0.04
Br  0.000  0.000  0.956  0.08

[3]
Computed, not measured: an optimized crystal structure of PtSe2Br at the GGA-PBE level of DFT.

Summary:
Its excess energy over the best structure of this formula in the dataset is 771.0 meV per atom. The total DFT energy (no corrections) is -3.183 eV per atom. As for the space-group type: No. 65. The uncorrected formation energy comes out at 0.49 eV/atom.

Cell: 8.657 8.657 2.695 Å, 90.00 90.00 145.79°
Atoms (fractional coordinates):
Pt  0.000  0.500  0.500
Se  0.500  0.500  0.000
Se  0.000  0.000  0.000
Br  0.500  0.000  0.500

[4]
Computed, not measured: an optimized crystal structure of Pt4SeBr at the GGA-PBE level of DFT.

Summary:
The total DFT energy (no corrections) is -4.239 eV per atom. As for the space-group type: No. 216. The uncorrected formation energy comes out at 0.65 eV/atom.

Cell: 5.403 5.403 5.403 Å, 60.00 60.00 60.00°
Atoms (fractional coordinates):
Br  0.000  0.000  0.000
Pt  0.376  0.376  0.873
Pt  0.376  0.376  0.376
Pt  0.873  0.376  0.376
Se  0.750  0.750  0.750
Pt  0.376  0.873  0.376

[5]
Computed, not measured: an optimized crystal structure of PtSe2Br at the GGA-PBE level of DFT.

Summary:
Its excess energy over the best structure of this formula in the dataset is 337.0 meV per atom. The total DFT energy (no corrections) is -3.617 eV per atom. As for the space-group type: No. 160. The uncorrected formation energy comes out at 0.05 eV/atom.

Cell: 8.745 8.745 8.745 Å, 24.30 24.30 24.30°
Atoms (fractional coordinates):
Se  0.279  0.279  0.279
Br  0.468  0.468  0.468
Se  0.016  0.016  0.016
Pt  0.738  0.738  0.738

[6]
Computed, not measured: an optimized crystal structure of PtSe2Br at the GGA-PBE level of DFT.

Summary:
Its excess energy over the best structure of this formula in the dataset is 3.4 meV per atom. The total DFT energy (no corrections) is -3.951 eV per atom. As for the space-group type: No. 11. The uncorrected formation energy comes out at -0.28 eV/atom.

Cell: 3.773 5.245 9.872 Å, 90.39 90.00 90.00°
Atoms (fractional coordinates):
Se  0.538  0.426  0.087
Se  0.538  0.431  0.429
Pt  0.538  0.932  0.482
Br  0.038  0.435  0.711
Br  0.538  0.926  0.029
Se  0.038  0.930  0.312
Se  0.038  0.934  0.653
Pt  0.038  0.429  0.258

[7]
Computed, not measured: an optimized crystal structure of PtSeBr2 at the GGA-PBE level of DFT.

Summary:
The total DFT energy (no corrections) is -3.458 eV per atom. As for the space-group type: No. 8. The uncorrected formation energy comes out at -0.24 eV/atom.

Cell: 4.493 4.493 8.143 Å, 79.25 79.25 47.92°
Atoms (fractional coordinates):
Pt  0.492  0.492  0.471
Se  0.130  0.130  0.305
Br  0.018  0.018  0.054
Br  0.861  0.861  0.670

[8]
Computed, not measured: an optimized crystal structure of PtSe2Br at the GGA-PBE level of DFT.

Summary:
Its excess energy over the best structure of this formula in the dataset is 259.6 meV per atom. The total DFT energy (no corrections) is -3.694 eV per atom. As for the space-group type: No. 8. The uncorrected formation energy comes out at -0.02 eV/atom.

Cell: 4.606 4.606 8.002 Å, 71.75 71.75 45.28°
Atoms (fractional coordinates):
Br  0.601  0.601  0.442
Se  0.892  0.892  0.025
Se  0.758  0.758  0.811
Pt  0.250  0.250  0.221